# 1
VReB | PBE-GGA | optimized geometry

```
VReB
1.0
0.0000 3.7678 3.8671
2.2956 0.0000 3.8671
2.2956 3.7678 0.0000
V Re B
2 2 2
direct
0.1701 0.8299 0.1701
0.8299 0.1701 0.8299
0.3337 0.3337 0.6663
0.6663 0.6663 0.3337
0.2500 0.2500 0.2500
0.7500 0.7500 0.7500
```

Results
Offset from the most stable computed form, eV per formula unit: 0.12
DOS(E_F), states/eV per atom: 0.683
Magnetization, μB/f.u.: 0.00
Symmetry: No. 69
Formation enthalpy at 0 K, eV per formula unit: -1.509
Final energy, eV per atom: -9.9179

***

# 2
V2ReB | PBE-GGA | optimized geometry

```
V2ReB
1.0
3.0122 0.0000 0.0000
0.0000 3.0122 0.0000
0.0000 0.0000 5.2435
V Re B
2 1 1
direct
0.0000 0.0000 0.2137
0.0000 0.0000 0.7863
0.5000 0.5000 0.5000
0.5000 0.5000 0.0000
```

Results
DOS(E_F), states/eV per atom: 1.003
Magnetization, μB/f.u.: 0.00
Symmetry: No. 123
Formation enthalpy at 0 K, eV per formula unit: -0.621
Final energy, eV per atom: -9.4960

***

# 3
V2ReB | PBE-GGA | optimized geometry

```
V2ReB
1.0
1.4495 0.8369 6.6896
-1.4495 0.8369 6.6896
0.0000 -1.6737 6.6896
V Re B
2 1 1
direct
0.2302 0.2302 0.2302
0.7698 0.7698 0.7698
0.0000 0.0000 0.0000
0.5000 0.5000 0.5000
```

Results
DOS(E_F), states/eV per atom: 0.735
Magnetization, μB/f.u.: 0.00
Symmetry: No. 166
Formation enthalpy at 0 K, eV per formula unit: -0.693
Final energy, eV per atom: -9.5140

***

# 4
VRe3B | PBE-GGA | optimized geometry

```
VRe3B
1.0
4.4591 0.0000 0.0000
0.0000 4.4591 0.0000
0.0000 0.0000 4.4591
V Re B
1 3 1
direct
0.0000 0.0000 0.0000
0.0000 0.0000 0.5000
0.0000 0.5000 0.0000
0.5000 0.0000 0.0000
0.5000 0.5000 0.5000
```

Results
Offset from the most stable computed form, eV per formula unit: 13.90
DOS(E_F), states/eV per atom: 1.196
Magnetization, μB/f.u.: 1.04
Symmetry: No. 221
Formation enthalpy at 0 K, eV per formula unit: 13.046
Final energy, eV per atom: -8.0189

***

# 5
VRe2B2 | PBE-GGA | optimized geometry

```
VRe2B2
1.0
-1.8323 1.8323 4.4386
1.8323 -1.8323 4.4386
1.8323 1.8323 -4.4386
V Re B
1 2 2
direct
0.0000 0.0000 0.0000
0.2500 0.7500 0.5000
0.7500 0.2500 0.5000
0.4035 0.4035 0.0000
0.5965 0.5965 0.0000
```

Results
Offset from the most stable computed form, eV per formula unit: 2.32
DOS(E_F), states/eV per atom: 1.185
Magnetization, μB/f.u.: 0.39
Symmetry: No. 139
Formation enthalpy at 0 K, eV per formula unit: 0.720
Final energy, eV per atom: -9.3300

***

# 6
VReB2 | PBE-GGA | optimized geometry

```
VReB2
1.0
1.5292 0.8829 5.0747
-1.5292 0.8829 5.0747
0.0000 -1.7658 5.0747
V Re B
1 1 2
direct
0.0000 0.0000 0.0000
0.5000 0.5000 0.5000
0.2528 0.2528 0.2528
0.7472 0.7472 0.7472
```

Results
Offset from the most stable computed form, eV per formula unit: 1.43
DOS(E_F), states/eV per atom: 0.632
Magnetization, μB/f.u.: 0.00
Symmetry: No. 166
Formation enthalpy at 0 K, eV per formula unit: -0.843
Final energy, eV per atom: -8.9411

***

# 7
VRe2B | PBE-GGA | optimized geometry

```
VRe2B
1.0
5.2645 -1.4854 0.0000
5.2645 1.4854 0.0000
-0.5069 0.0000 6.3371
V Re B
2 4 2
direct
0.1297 0.1297 0.4604
0.8703 0.8703 0.5396
0.2706 0.2706 0.8214
0.4519 0.4519 0.2106
0.5481 0.5481 0.7894
0.7294 0.7294 0.1786
0.0835 0.0835 0.0631
0.9165 0.9165 0.9369
```

Results
DOS(E_F), states/eV per atom: 0.864
Magnetization, μB/f.u.: 0.00
Symmetry: No. 12
Formation enthalpy at 0 K, eV per formula unit: -0.735
Final energy, eV per atom: -10.3567

***

# 8
VReB | PBE-GGA | optimized geometry

```
VReB
1.0
-1.3600 1.3600 4.7130
1.3600 -1.3600 4.7130
1.3600 1.3600 -4.7130
V Re B
1 1 1
direct
0.0000 0.0000 0.0000
0.7285 0.7285 0.0000
0.3551 0.3551 0.0000
```

Results
Offset from the most stable computed form, eV per formula unit: 1.49
DOS(E_F), states/eV per atom: 0.744
Magnetization, μB/f.u.: 0.00
Symmetry: No. 107
Formation enthalpy at 0 K, eV per formula unit: -0.138
Final energy, eV per atom: -9.4608

***

# 9
V2ReB4 | PBE-GGA | optimized geometry

```
V2ReB4
1.0
-1.9834 1.9834 5.4135
1.9834 -1.9834 5.4135
1.9834 1.9834 -5.4135
V Re B
2 1 4
direct
0.1157 0.1157 0.0000
0.8843 0.8843 0.0000
0.5000 0.5000 0.0000
0.0000 0.5000 0.5000
0.3039 0.3039 0.0000
0.5000 0.0000 0.5000
0.6961 0.6961 0.0000
```

Results
DOS(E_F), states/eV per atom: 0.508
Magnetization, μB/f.u.: 0.00
Symmetry: No. 139
Formation enthalpy at 0 K, eV per formula unit: 4.620
Final energy, eV per atom: -7.5392

***

# 10
VReB2 | PBE-GGA | optimized geometry

```
VReB2
1.0
-2.3585 2.3585 4.7999
2.3585 -2.3585 4.7999
2.3585 2.3585 -4.7999
V Re B
2 2 4
direct
0.0000 0.0000 0.0000
0.7500 0.2500 0.5000
0.2500 0.7500 0.5000
0.5000 0.5000 0.0000
0.1327 0.6250 0.0077
0.3750 0.3827 0.5077
0.6173 0.1250 0.9923
0.8750 0.8673 0.4923
```

Results
Offset from the most stable computed form, eV per formula unit: 5.34
DOS(E_F), states/eV per atom: 1.140
Magnetization, μB/f.u.: 0.00
Symmetry: No. 122
Formation enthalpy at 0 K, eV per formula unit: 3.072
Final energy, eV per atom: -7.9624

***

# 11
VRe2B4 | PBE-GGA | optimized geometry

```
VRe2B4
1.0
-1.8950 1.8950 5.4692
1.8950 -1.8950 5.4692
1.8950 1.8950 -5.4692
V Re B
1 2 4
direct
0.0000 0.0000 0.0000
0.3738 0.3738 0.0000
0.6262 0.6262 0.0000
0.0000 0.5000 0.5000
0.1881 0.1881 0.0000
0.5000 0.0000 0.5000
0.8119 0.8119 0.0000
```

Results
DOS(E_F), states/eV per atom: 0.678
Magnetization, μB/f.u.: 0.00
Symmetry: No. 139
Formation enthalpy at 0 K, eV per formula unit: 6.130
Final energy, eV per atom: -7.7992

***

# 12
VReB | PBE-GGA | optimized geometry

```
VReB
1.0
1.5246 -7.2478 0.0000
1.5246 7.2478 0.0000
0.0000 0.0000 3.0082
V Re B
2 2 2
direct
0.0807 0.9193 0.7500
0.9193 0.0807 0.2500
0.3056 0.6944 0.7500
0.6944 0.3056 0.2500
0.4656 0.5344 0.7500
0.5344 0.4656 0.2500
```

Results
Offset from the most stable computed form, eV per formula unit: 0.00
DOS(E_F), states/eV per atom: 0.624
Magnetization, μB/f.u.: 0.00
Symmetry: No. 63
Formation enthalpy at 0 K, eV per formula unit: -1.633
Final energy, eV per atom: -9.9590